Entry 1:
BaNpAs3: relaxed, PBE.

Properties
Its formation energy is -0.552 eV/atom. For the total moment, the calculation gives 0.2351 μB/atom.

Cell lengths 5.347, 5.347, 5.347 Å; angles 90.00, 90.00, 90.00 degrees
Each line ends with the local moment (μB).
Fractional coordinates of all 5 atoms:
Np (0.000, 0.000, 0.000)  1.52
As (0.000, 0.500, 0.000)  -0.07
As (0.000, 0.000, 0.500)  -0.07
As (0.500, 0.000, 0.000)  -0.07
Ba (0.500, 0.500, 0.500)  -0.01

=====

Entry 2:
La2LuSc: relaxed, PBE.

Properties
Its formation energy is 0.046 eV/atom. For the total moment, the calculation gives 0.0000 μB/atom. Its offset from the most stable computed form is 0.003 eV/atom.

Cell lengths 4.596, 5.256, 5.256 Å; angles 90.00, 90.00, 90.00 degrees
Fractional coordinates of all 4 atoms:
Sc (0.500, 0.000, 0.000)
Lu (0.500, 0.500, 0.500)
La (0.000, 0.000, 0.500)
La (0.000, 0.500, 0.000)

=====

Entry 3:
Nd2SmVN4: relaxed, PBE.

Properties
The calculation puts the formation energy (no corrections) at -1.148 eV/atom. For the total moment, the calculation gives 0.0000 μB/atom.

Cell lengths 3.451, 6.181, 12.297 Å; angles 90.00, 90.00, 106.21 degrees
Fractional coordinates of all 16 atoms:
Nd (0.368, 0.736, 0.543)
Nd (0.632, 0.264, 0.043)
Nd (0.632, 0.264, 0.457)
Nd (0.368, 0.736, 0.957)
Sm (0.086, 0.173, 0.750)
Sm (0.914, 0.827, 0.250)
V (0.824, 0.648, 0.750)
V (0.176, 0.352, 0.250)
N (0.270, 0.541, 0.136)
N (0.730, 0.459, 0.636)
N (0.730, 0.459, 0.864)
N (0.270, 0.541, 0.364)
N (0.000, 0.000, 0.500)
N (0.000, 0.000, 0.000)
N (0.423, 0.847, 0.750)
N (0.577, 0.153, 0.250)

=====

Entry 4:
LiPmAu: relaxed, PBE.

Properties
Its formation energy is -0.411 eV/atom. For the total moment, the calculation gives 0.0000 μB/atom. Its offset from the most stable computed form is 0.177 eV/atom.

Cell lengths 4.835, 4.835, 4.835 Å; angles 60.00, 60.00, 60.00 degrees
Fractional coordinates of all 3 atoms:
Li (0.500, 0.500, 0.500)
Au (0.250, 0.250, 0.250)
Pm (0.000, 0.000, 0.000)

=====

Entry 5:
Ce4NdGd: relaxed, PBE.

Properties
Its formation energy is 0.196 eV/atom. For the total moment, the calculation gives 1.9420 μB/atom.

Cell lengths 6.360, 6.360, 6.360 Å; angles 60.00, 60.00, 60.00 degrees
Each line ends with the local moment (μB).
Fractional coordinates of all 6 atoms:
Gd (0.000, 0.000, 0.000)  7.25
Nd (0.250, 0.250, 0.250)  0.01
Ce (0.630, 0.630, 0.109)  0.75
Ce (0.630, 0.109, 0.630)  0.75
Ce (0.630, 0.630, 0.630)  0.75
Ce (0.109, 0.630, 0.630)  0.75

=====

Entry 6:
TbSc2Pd9: relaxed, PBE.

Properties
Its formation energy is -0.841 eV/atom. For the total moment, the calculation gives 0.0000 μB/atom.

Cell lengths 4.058, 4.058, 12.112 Å; angles 90.00, 90.00, 90.00 degrees
Fractional coordinates of all 12 atoms:
Tb (0.000, 0.000, 0.000)
Sc (0.000, 0.000, 0.337)
Sc (0.000, 0.000, 0.663)
Pd (0.500, 0.500, 0.000)
Pd (0.500, 0.500, 0.337)
Pd (0.500, 0.500, 0.663)
Pd (0.500, 0.000, 0.175)
Pd (0.500, 0.000, 0.500)
Pd (0.500, 0.000, 0.825)
Pd (0.000, 0.500, 0.175)
Pd (0.000, 0.500, 0.500)
Pd (0.000, 0.500, 0.825)

=====

Entry 7:
Rb2ZnPb2: relaxed, PBE.

Properties
Its formation energy is 0.411 eV/atom. For the total moment, the calculation gives 0.0000 μB/atom. Its offset from the most stable computed form is 0.441 eV/atom.

Cell lengths 5.364, 5.364, 8.725 Å; angles 72.10, 72.10, 90.00 degrees
Fractional coordinates of all 5 atoms:
Pb (0.411, 0.411, 0.178)
Pb (0.589, 0.589, 0.822)
Zn (0.000, 0.000, 0.000)
Rb (0.750, 0.250, 0.500)
Rb (0.250, 0.750, 0.500)

=====

Entry 8:
Pm2Nd2Ge3: relaxed, PBE.

Properties
Its formation energy is -0.602 eV/atom. For the total moment, the calculation gives 0.0402 μB/atom.

Cell lengths 4.239, 7.313, 7.650 Å; angles 101.04, 90.03, 106.84 degrees
Fractional coordinates of all 7 atoms:
Pm (0.629, 0.258, 0.892)
Pm (0.371, 0.742, 0.108)
Nd (0.865, 0.731, 0.640)
Nd (0.135, 0.269, 0.360)
Ge (0.000, 0.000, 0.000)
Ge (0.762, 0.523, 0.259)
Ge (0.238, 0.477, 0.741)

=====

Entry 9:
Er2MoSe: relaxed, PBE.

Properties
The calculation puts the formation energy (no corrections) at 0.102 eV/atom. For the total moment, the calculation gives 0.0000 μB/atom.

Cell lengths 3.451, 3.451, 9.574 Å; angles 79.62, 79.62, 60.00 degrees
Fractional coordinates of all 4 atoms:
Mo (0.000, 0.000, 0.000)
Se (0.500, 0.500, 0.500)
Er (0.097, 0.097, 0.708)
Er (0.903, 0.903, 0.292)

=====

Entry 10:
MgIn5Rh6: relaxed, PBE.

Properties
Its formation energy is -0.485 eV/atom. For the total moment, the calculation gives 0.0000 μB/atom.

Cell lengths 4.547, 6.442, 7.182 Å; angles 90.00, 71.59, 90.00 degrees
Fractional coordinates of all 12 atoms:
Mg (0.000, 0.000, 0.000)
Rh (0.833, 0.751, 0.334)
Rh (0.833, 0.249, 0.334)
Rh (0.500, 0.252, 0.000)
Rh (0.500, 0.748, 0.000)
Rh (0.167, 0.751, 0.666)
Rh (0.167, 0.249, 0.666)
In (0.667, 0.500, 0.667)
In (0.337, 0.000, 0.326)
In (0.000, 0.500, 0.000)
In (0.663, 0.000, 0.674)
In (0.333, 0.500, 0.333)

=====

Entry 11:
LaCr2Rh: relaxed, PBE.

Properties
Its formation energy is 0.105 eV/atom. For the total moment, the calculation gives 0.2536 μB/atom. Its offset from the most stable computed form is 0.000 eV/atom.

Cell lengths 4.293, 4.293, 5.753 Å; angles 68.17, 68.17, 60.15 degrees
Each line ends with the local moment (μB).
Fractional coordinates of all 4 atoms:
Cr (0.995, 0.995, 0.015)  -2.63
Cr (0.706, 0.706, 0.883)  3.12
La (0.500, 0.500, 0.497)  0.12
Rh (0.299, 0.299, 0.105)  0.19

=====

Entry 12:
KS5F: relaxed, PBE.

Properties
The calculation puts the formation energy (no corrections) at -0.528 eV/atom. For the total moment, the calculation gives 0.1266 μB/atom.

Cell lengths 6.386, 4.291, 8.544 Å; angles 86.33, 113.01, 111.31 degrees
Each line ends with the local moment (μB).
Fractional coordinates of all 7 atoms:
K (0.818, 0.729, 0.494)  0.00
S (0.943, 0.178, 0.150)  0.01
S (0.206, 0.635, 0.288)  0.01
S (0.151, 0.961, 0.101)  0.00
S (0.369, 0.606, 0.824)  0.25
S (0.431, 0.303, 0.707)  0.26
F (0.614, 0.119, 0.496)  0.01

=====

In order of appearance, mass density = 6.51, 6.51, 7.20, 7.25, 7.87, 10.04, 4.78, 5.95, 8.76, 10.11, 6.92, 1.81 g/cm3.